Run i
{"formula": "ZrScIn4", "functional": "GGA-PBE", "state": "relaxed", "lattice": [[3.346, -3.566, 0.000], [3.346, 3.566, 0.000], [-0.635, 0.000, 6.849]], "species": ["Zr", "Sc", "In", "In", "In", "In"], "frac_coords": [[0.000, 0.000, 0.000], [0.500, 0.500, 0.500], [0.022, 0.477, 0.749], [0.477, 0.022, 0.749], [0.523, 0.978, 0.251], [0.978, 0.523, 0.251]], "n_ef_per_ev_atom": 0.533, "total_magnetization_mub_per_cell": 0.0}

Run ii
{"formula": "ZrScIn4", "functional": "GGA-PBE", "state": "relaxed", "lattice": [[0.000, 4.107, 4.107], [4.107, 0.000, 4.107], [4.107, 4.107, 0.000]], "species": ["Zr", "Sc", "In", "In", "In", "In"], "frac_coords": [[0.000, 0.000, 0.000], [0.250, 0.250, 0.250], [0.125, 0.625, 0.625], [0.625, 0.125, 0.625], [0.625, 0.625, 0.125], [0.625, 0.625, 0.625]], "n_ef_per_ev_atom": 0.557, "total_magnetization_mub_per_cell": 0.0}

Relative calculated energies, zero for the most stable structure, unit kJ/mol of atoms: run i 14.2; run ii 0.0.